First-principles (GGA-PBE) data for a relaxed structure of LiGaSbRu, as listed in Alexandria.

## Properties
E_form (uncorrected)	-0.9	eV per formula unit
M_tot	0.0	μB per formula unit

```
LiGaSbRu
1.0
0.000 3.175 3.175
3.175 0.000 3.175
3.175 3.175 0.000
Li Ga Sb Ru
1 1 1 1
direct
0.000 0.000 0.000
0.750 0.750 0.750
0.250 0.250 0.250
0.500 0.500 0.500
```